14
Lattice="3.298 0.000 0.000 0.000 7.865 0.000 0.000 -3.932 7.037" Properties=species:S:1:pos:R:3 comment="Lu5Re2C7, PBEsol geometry, DFT SCAN" n_ef_per_ev_cell=2.82 magnetic_moment_mub_per_fu=0.0 formation_energy_mev_per_atom=-553 space_group="No. 65" final_energy_ev_per_fu=-497.363 pbc="T T T"
C 0.000 -1.966 3.518
C 0.000 1.360 0.000
C 1.649 3.932 1.728
C 1.649 0.000 5.309
C 0.000 6.505 0.000
C 0.000 1.966 3.518
C 0.000 0.000 0.000
Lu 1.649 -2.304 5.222
Lu 1.649 2.304 5.222
Lu 0.000 3.932 0.000
Lu 1.649 1.629 1.815
Lu 1.649 6.236 1.815
Re 0.000 0.000 4.000
Re 0.000 3.932 3.036



4
Lattice="-0.622 1.876 2.052 -3.490 -3.119 -0.184 3.911 -3.683 4.551" Properties=species:S:1:pos:R:3 comment="KMn2Ag, PBEsol geometry, DFT SCAN" e_above_lowest_polymorph_ev_per_atom=0.000 n_ef_per_ev_cell=2.93 magnetic_moment_mub_per_fu=8.3 formation_energy_mev_per_atom=415 space_group="No. 8" final_energy_ev_per_fu=-74.546 pbc="T T T"
Mn 1.040 -3.895 3.875
Mn -0.423 -4.482 5.946
K -1.237 -1.092 2.600
Ag 1.865 -1.287 3.719



4
Lattice="-0.759 2.729 -2.692 -4.463 -0.784 0.464 2.387 2.310 4.505" Properties=species:S:1:pos:R:3 comment="YIn2W, PBEsol geometry, DFT SCAN" e_above_lowest_polymorph_ev_per_atom=0.039 n_ef_per_ev_cell=2.82 magnetic_moment_mub_per_fu=0.5 formation_energy_mev_per_atom=293 space_group="No. 44" final_energy_ev_per_fu=-163.132 pbc="T T T"
W -0.221 3.237 3.344
In -0.003 0.041 0.043
In -0.493 3.028 0.372
Y -2.342 1.232 1.910



4
Lattice="-2.417 -0.426 -1.169 -0.619 -1.803 1.938 -2.409 4.441 3.363" Properties=species:S:1:pos:R:3 comment="ZnSiNi2, PBEsol geometry, DFT SCAN" n_ef_per_ev_cell=1.43 magnetic_moment_mub_per_fu=0.0 raw_formation_energy_ev_per_atom=-0.423 space_group="No. 123" final_energy_ev_per_fu=-57.568 pbc="T T T"
Zn -2.723 1.105 2.066
Ni -1.883 3.470 2.628
Ni -0.526 0.970 0.735
Si -1.518 -1.115 0.385



5
Lattice="4.017 0.000 0.000 0.000 5.257 0.000 0.000 0.000 5.257" Properties=species:S:1:pos:R:3 comment="Bi2BAsSe, PBEsol geometry, DFT SCAN" n_ef_per_ev_cell=2.59 magnetic_moment_mub_per_fu=0.0 raw_formation_energy_ev_per_atom=0.686 space_group="No. 123" final_energy_ev_per_fu=-201.427 pbc="T T T"
As 2.009 0.000 0.000
Bi 0.000 0.000 2.628
Bi 0.000 2.628 0.000
Se 2.009 2.628 2.628
B 0.000 0.000 0.000



8
Lattice="4.848 0.000 0.000 0.000 4.848 0.000 -2.424 -2.424 4.647" Properties=species:S:1:pos:R:3 comment="AsRuO2, PBEsol geometry, DFT SCAN" n_ef_per_ev_cell=3.27 magnetic_moment_mub_per_fu=0.0 raw_formation_energy_ev_per_atom=0.045 space_group="No. 122" final_energy_ev_per_fu=-67.300 pbc="T T T"
O -1.212 -1.374 3.485
O 3.798 1.212 1.162
O 1.050 3.636 1.162
O 1.212 1.374 3.485
As 2.424 2.424 0.000
As 2.424 0.000 2.324
Ru 0.000 2.424 2.324
Ru 0.000 0.000 0.000